First-principles (PBE+U) data for a relaxed FeBi3F crystal, as listed in Alexandria via LeMat-Bulk. Values from VASP.

Summary:
Its energy above the lowest structure with this stoichiometry is 0 kJ/mol of formula units. For the energy, the calculation gives -3.54 eV/atom.

```
&SYSTEM
  ibrav = 0, nat = 5, ntyp = 3
/
ATOMIC_SPECIES
Fe 55.84 Fe.upf
Bi 208.98 Bi.upf
F 19.00 F.upf
ATOMIC_POSITIONS angstrom
Fe 0.000 0.000 0.000
Bi 0.000 0.000 2.613
Bi 0.000 2.613 0.000
Bi 2.613 0.000 0.000
F 2.613 2.613 2.613
CELL_PARAMETERS angstrom
5.225 0.000 0.000
0.000 5.225 0.000
0.000 0.000 5.225
```